No. 1
{"formula": "NaCa2YTi", "functional": "PBE-GGA", "state": "relaxed", "formation_energy_mev_per_atom": 907, "sg": "P4/mmm, No. 123", "m_tot_mub_per_fu": 1.892, "de_polymorph_ev_per_atom": 0.000, "lattice_angstrom": [[5.740, 0.000, 0.000], [0.000, 5.740, 0.000], [0.000, 0.000, 5.516]], "species": ["Na", "Ca", "Ca", "Y", "Ti"], "fractional_positions": [[0.000, 0.000, 0.000], [0.000, 0.500, 0.500], [0.500, 0.000, 0.500], [0.500, 0.500, 0.000], [0.000, 0.000, 0.500]]}

---

No. 2
{"formula": "NaCaTi2Zn", "functional": "PBE-GGA", "state": "relaxed", "formation_energy_mev_per_atom": 677, "sg": "P4/mmm, No. 123", "m_tot_mub_per_fu": 3.777, "lattice_angstrom": [[4.985, 0.000, 0.000], [0.000, 4.985, 0.000], [0.000, 0.000, 5.394]], "species": ["Na", "Ca", "Ti", "Ti", "Zn"], "fractional_positions": [[0.000, 0.000, 0.000], [0.500, 0.500, 0.000], [0.000, 0.500, 0.500], [0.500, 0.000, 0.500], [0.000, 0.000, 0.500]]}

---

No. 3
{"formula": "Na2CaTl2", "functional": "PBE-GGA", "state": "relaxed", "formation_energy_mev_per_atom": -121, "sg": "P4/mbm, No. 127", "m_tot_mub_per_fu": 0.000, "de_polymorph_ev_per_atom": 0.069, "lattice_angstrom": [[8.785, 0.000, 0.000], [0.000, 8.785, 0.000], [0.000, 0.000, 4.015]], "species": ["Na", "Na", "Na", "Na", "Ca", "Ca", "Tl", "Tl", "Tl", "Tl"], "fractional_positions": [[0.158, 0.342, 0.000], [0.342, 0.842, 0.000], [0.658, 0.158, 0.000], [0.842, 0.658, 0.000], [0.000, 0.000, 0.500], [0.500, 0.500, 0.500], [0.139, 0.639, 0.500], [0.361, 0.139, 0.500], [0.639, 0.861, 0.500], [0.861, 0.361, 0.500]]}

---

No. 4
{"formula": "Na2CaTl2", "functional": "PBE-GGA", "state": "relaxed", "formation_energy_mev_per_atom": -134, "sg": "I4/mmm, No. 139", "m_tot_mub_per_fu": 0.000, "de_polymorph_ev_per_atom": 0.056, "lattice_angstrom": [[-2.200, 2.200, 7.889], [2.200, -2.200, 7.889], [2.200, 2.200, -7.889]], "species": ["Na", "Na", "Ca", "Tl", "Tl"], "fractional_positions": [[0.250, 0.750, 0.500], [0.750, 0.250, 0.500], [0.000, 0.000, 0.000], [0.400, 0.400, 0.000], [0.600, 0.600, 0.000]]}

---

No. 5
{"formula": "NaCaTl2", "functional": "PBE-GGA", "state": "relaxed", "formation_energy_mev_per_atom": -68, "sg": "I-42d, No. 122", "m_tot_mub_per_fu": 0.000, "lattice_angstrom": [[-4.290, 4.290, 3.448], [4.290, -4.290, 3.448], [4.290, 4.290, -3.448]], "species": ["Na", "Na", "Ca", "Ca", "Tl", "Tl", "Tl", "Tl"], "fractional_positions": [[0.000, 0.000, 0.000], [0.750, 0.250, 0.500], [0.250, 0.750, 0.500], [0.500, 0.500, 0.000], [0.111, 0.625, 0.986], [0.375, 0.361, 0.486], [0.639, 0.125, 0.014], [0.875, 0.889, 0.514]]}

---

No. 6
{"formula": "NaCa6Tl3", "functional": "PBE-GGA", "state": "relaxed", "formation_energy_mev_per_atom": -261, "sg": "P2_1/m, No. 11", "m_tot_mub_per_fu": 0.000, "lattice_angstrom": [[10.544, 0.000, 0.000], [0.000, 5.462, 0.000], [-2.149, 0.000, 11.603]], "species": ["Na", "Na", "Ca", "Ca", "Ca", "Ca", "Ca", "Ca", "Ca", "Ca", "Ca", "Ca", "Ca", "Ca", "Tl", "Tl", "Tl", "Tl", "Tl", "Tl"], "fractional_positions": [[0.040, 0.250, 0.412], [0.960, 0.750, 0.588], [0.093, 0.750, 0.908], [0.138, 0.750, 0.209], [0.211, 0.250, 0.738], [0.294, 0.750, 0.527], [0.368, 0.250, 0.313], [0.440, 0.750, 0.090], [0.560, 0.250, 0.910], [0.632, 0.750, 0.687], [0.706, 0.250, 0.473], [0.789, 0.750, 0.262], [0.862, 0.250, 0.791], [0.907, 0.250, 0.092], [0.216, 0.250, 0.041], [0.371, 0.750, 0.806], [0.467, 0.250, 0.619], [0.533, 0.750, 0.381], [0.629, 0.250, 0.194], [0.784, 0.750, 0.959]]}

---

No. 7
{"formula": "NaCa3Tl", "functional": "PBE-GGA", "state": "relaxed", "formation_energy_mev_per_atom": -170, "sg": "Cmcm, No. 63", "m_tot_mub_per_fu": 0.000, "de_polymorph_ev_per_atom": 0.000, "lattice_angstrom": [[2.817, -10.525, 0.000], [2.817, 10.525, 0.000], [0.000, 0.000, 5.638]], "species": ["Na", "Na", "Ca", "Ca", "Ca", "Ca", "Ca", "Ca", "Tl", "Tl"], "fractional_positions": [[0.157, 0.843, 0.750], [0.843, 0.157, 0.250], [0.066, 0.934, 0.250], [0.251, 0.749, 0.250], [0.435, 0.565, 0.250], [0.565, 0.435, 0.750], [0.749, 0.251, 0.750], [0.934, 0.066, 0.750], [0.344, 0.656, 0.750], [0.656, 0.344, 0.250]]}

---

No. 8
{"formula": "NaCaTl", "functional": "PBE-GGA", "state": "relaxed", "formation_energy_mev_per_atom": -164, "sg": "P-1, No. 2", "m_tot_mub_per_fu": 0.000, "de_polymorph_ev_per_atom": 0.049, "lattice_angstrom": [[5.468, 0.000, 0.000], [2.728, 4.754, 0.000], [0.000, 3.119, 7.721]], "species": ["Na", "Na", "Ca", "Ca", "Tl", "Tl"], "fractional_positions": [[0.204, 0.092, 0.111], [0.796, 0.908, 0.889], [0.376, 0.746, 0.629], [0.624, 0.254, 0.371], [0.065, 0.367, 0.695], [0.935, 0.633, 0.305]]}

---

No. 9
{"formula": "NaCa4Tl", "functional": "PBE-GGA", "state": "relaxed", "formation_energy_mev_per_atom": -124, "sg": "P4/mmm, No. 123", "m_tot_mub_per_fu": 0.000, "de_polymorph_ev_per_atom": 0.000, "lattice_angstrom": [[3.849, 0.000, 0.000], [0.000, 3.849, 0.000], [0.000, 0.000, 14.940]], "species": ["Na", "Ca", "Ca", "Ca", "Ca", "Tl"], "fractional_positions": [[0.000, 0.000, 0.000], [0.000, 0.000, 0.369], [0.000, 0.000, 0.631], [0.500, 0.500, 0.178], [0.500, 0.500, 0.822], [0.500, 0.500, 0.500]]}

---

No. 10
{"formula": "Na2CaTl3", "functional": "PBE-GGA", "state": "relaxed", "formation_energy_mev_per_atom": -200, "sg": "C2/m, No. 12", "m_tot_mub_per_fu": 0.000, "lattice_angstrom": [[2.674, -7.988, 0.000], [2.674, 7.988, 0.000], [-0.002, 0.000, 7.978]], "species": ["Na", "Na", "Na", "Na", "Ca", "Ca", "Tl", "Tl", "Tl", "Tl", "Tl", "Tl"], "fractional_positions": [[0.000, 0.000, 0.000], [0.000, 0.000, 0.500], [0.334, 0.666, 0.000], [0.666, 0.334, 0.000], [0.335, 0.665, 0.500], [0.665, 0.335, 0.500], [0.166, 0.833, 0.246], [0.167, 0.834, 0.754], [0.499, 0.499, 0.244], [0.501, 0.501, 0.756], [0.833, 0.166, 0.246], [0.834, 0.167, 0.754]]}

---

No. 11
{"formula": "Na2CaTl10", "functional": "PBE-GGA", "state": "relaxed", "formation_energy_mev_per_atom": -33, "sg": "Fmmm, No. 69", "m_tot_mub_per_fu": 0.000, "lattice_angstrom": [[0.000, 7.941, 7.982], [3.142, 0.000, 7.982], [3.142, 7.941, 0.000]], "species": ["Na", "Na", "Ca", "Tl", "Tl", "Tl", "Tl", "Tl", "Tl", "Tl", "Tl", "Tl", "Tl"], "fractional_positions": [[0.000, 0.500, 0.000], [0.500, 0.000, 0.500], [0.000, 0.000, 0.000], [0.000, 0.000, 0.500], [0.002, 0.354, 0.646], [0.293, 0.496, 0.504], [0.354, 0.002, 0.998], [0.496, 0.293, 0.707], [0.500, 0.500, 0.000], [0.504, 0.707, 0.293], [0.646, 0.998, 0.002], [0.707, 0.504, 0.496], [0.998, 0.646, 0.354]]}

---

No. 12
{"formula": "NaCa2Tl", "functional": "PBE-GGA", "state": "relaxed", "formation_energy_mev_per_atom": 100, "sg": "R-3m, No. 166", "m_tot_mub_per_fu": 0.000, "de_polymorph_ev_per_atom": 0.334, "lattice_angstrom": [[1.873, 1.081, 12.825], [-1.873, 1.081, 12.825], [0.000, -2.162, 12.825]], "species": ["Na", "Ca", "Ca", "Tl"], "fractional_positions": [[0.000, 0.000, 0.000], [0.416, 0.416, 0.416], [0.584, 0.584, 0.584], [0.500, 0.500, 0.500]]}